# 1
Material: Be2Te
Method: DFT, meta-GGA SCAN
State: single point on PBEsol structure

Properties
ΔE to the lowest computed polymorph	0.000	eV/atom
E_form (uncorrected)	0.179	eV/atom

a = 3.717 Å, b = 5.408 Å, c = 5.675 Å
α = 113.07°, β = 109.12°, γ = 90.00°
Atoms (fractional coordinates):
1 Be 0.408 0.023 0.815
2 Be 0.971 0.795 0.942
3 Be 0.592 0.977 0.185
4 Be 0.029 0.205 0.058
5 Te 0.831 0.312 0.661
6 Te 0.169 0.688 0.339

***

# 2
Material: Cs3GePt
Method: DFT, meta-GGA SCAN
State: single point on PBEsol structure

Properties
formation enthalpy at 0 K	23	kJ/mol of atoms

a = 6.401 Å, b = 6.401 Å, c = 6.401 Å
α = 90.00°, β = 90.00°, γ = 90.00°
Site moments in Bohr magnetons follow the coordinates.
Atoms (fractional coordinates):
1 Cs 0.500 0.000 0.000  0.02
2 Cs 0.000 0.500 0.000  0.02
3 Cs 0.000 0.000 0.500  0.02
4 Ge 0.500 0.500 0.500  0.90
5 Pt 0.000 0.000 0.000  0.03